No. 1
TmMgTl2F6 | PBE | optimized geometry

The space group is Fm-3m (No. 225) and the conventional cell measures 8.641, 8.641 and 8.641 Å, with angles of 90.00, 90.00 and 90.00 degrees. The asymmetric unit holds Tm at (0.000, 0.000, 0.000), Mg at (0.000, 0.000, 0.500), Tl at (0.250, 0.250, 0.250) and F at (0.000, 0.000, 0.255).

The formation energy without anion corrections comes out at -2.88 eV per atom. The spin magnetization is 0.000 μB per formula unit. The calculated volume comes out at 161.3 Å³/f.u.


No. 2
LuAlCuOs | PBE | optimized geometry

The space group is F-43m (No. 216) and the conventional cell measures 6.388, 6.388 and 6.388 Å, with angles of 90.00, 90.00 and 90.00 degrees. The asymmetric unit holds Lu at (0.000, 0.000, 0.000), Al at (0.000, 0.000, 0.500), Cu at (0.250, 0.250, 0.750) and Os at (0.250, 0.250, 0.250).

For the formation energy, the calculation gives -0.26 eV/atom. The spin magnetization is 0.001 μB per formula unit. The calculated volume comes out at 65.2 Å³/f.u.


No. 3
PmTiV | PBE | optimized geometry

The space group is I4/mmm (No. 139) and the conventional cell measures 3.168, 3.168 and 25.539 Å, with angles of 90.00, 90.00 and 90.00 degrees. The asymmetric unit holds Pm at (0.000, 0.000, 0.069), Ti at (0.000, 0.000, 0.336) and V at (0.000, 0.000, 0.224).

For the formation energy, the calculation gives 0.22 eV/atom. The spin magnetization is 0.000 μB per formula unit. The calculated volume comes out at 64.1 Å³/f.u.


No. 4
Re2OsBr | PBE | optimized geometry

The space group is R-3m (No. 166, hexagonal axes) and the conventional cell measures 2.8787, 2.8787 and 26.1560 Å, with angles of 90.00, 90.00 and 120.00 degrees. The asymmetric unit holds Re at (0.0000, 0.0000, 0.2477), Os at (0.0000, 0.0000, 0.5000) and Br at (0.0000, 0.0000, 0.0000).

The value obtained for the energy above the most stable polymorph in this dataset is 0.0 kJ per mole of atoms. The formation energy without anion corrections comes out at 0.71 eV per atom. The spin magnetization is 0.000 μB per formula unit. The calculated volume comes out at 62.6 Å³/f.u.


No. 5
Tb3Sb2C | PBE | optimized geometry

The space group is Cmcm (No. 63) and the conventional cell measures 10.871, 8.644 and 6.589 Å, with angles of 90.00, 90.00 and 90.00 degrees. The asymmetric unit holds Tb at (0.000, 0.160, 0.250), Tb at (0.153, 0.500, 0.000), Sb at (0.143, 0.183, 0.750) and C at (0.000, 0.422, 0.250).

The formation energy without anion corrections comes out at -0.64 eV per atom. The spin magnetization is 0.000 μB per formula unit. The calculated volume comes out at 154.8 Å³/f.u.


No. 6
YTl2Os | PBE | optimized geometry

The space group is F-43m (No. 216) and the conventional cell measures 7.141, 7.141 and 7.141 Å, with angles of 90.00, 90.00 and 90.00 degrees. The asymmetric unit holds Y at (0.000, 0.000, 0.000), Tl at (0.000, 0.000, 0.500), Tl at (0.250, 0.250, 0.250) and Os at (0.250, 0.250, 0.750).

For the formation energy, the calculation gives 0.44 eV/atom. The value obtained for the energy above the most stable polymorph in this dataset is 22.0 kJ per mole of atoms. The spin magnetization is 0.151 μB per formula unit. The calculated volume comes out at 91.0 Å³/f.u.


- Number 5 is which compound?
  Tb3Sb2C


- spin magnetization of number 2 (LuAlCuOs)?
  0.001 μB per formula unit